Computed, not measured: crystalline CsGeOF2 at its relaxed geometry at the PBE-GGA level of DFT.

Unit cell a=5.132 b=5.132 c=4.611 alpha=90.00 beta=90.00 gamma=90.00
Sites, in units of the cell vectors:
O (0.000, 0.000, 0.500)
F (0.000, 0.500, 0.000)
F (0.500, 0.000, 0.000)
Ge (0.500, 0.500, 0.500)
Cs (0.000, 0.000, 0.000)

Properties
total energy	-3.1538	eV/atom
energy above the lowest structure with this stoichiometry	1639	meV per atom
magnetic moment	0.0000	μB/atom

***

Computed, not measured: crystalline AcBiPdPt at its relaxed geometry at the PBE-GGA level of DFT.

Unit cell a=5.163 b=5.163 c=5.163 alpha=60.00 beta=60.00 gamma=60.00
Sites, in units of the cell vectors:
Pt (0.750, 0.750, 0.750)
Bi (0.500, 0.500, 0.500)
Pd (0.250, 0.250, 0.250)
Ac (0.000, 0.000, 0.000)

Properties
total energy	-5.4561	eV/atom
magnetic moment	0.0000	μB/atom

***

Computed, not measured: crystalline Tb5Pm2Er at its relaxed geometry at the PBE-GGA level of DFT.

Unit cell a=5.047 b=7.156 c=14.314 alpha=90.00 beta=90.00 gamma=90.00
Sites, in units of the cell vectors:
Tb (0.500, 0.749, 0.625)
Tb (0.000, 0.501, 0.250)
Tb (0.500, 0.751, 0.125)
Tb (0.000, 0.499, 0.750)
Tb (0.000, 0.001, 0.250)
Tb (0.000, 0.000, 0.000)
Tb (0.000, 0.999, 0.750)
Tb (0.500, 0.251, 0.375)
Tb (0.000, 0.500, 0.500)
Tb (0.500, 0.249, 0.875)
Pm (0.500, 0.751, 0.375)
Pm (0.500, 0.249, 0.625)
Pm (0.500, 0.749, 0.875)
Pm (0.500, 0.251, 0.125)
Er (0.000, 0.500, 0.000)
Er (0.000, 0.000, 0.500)

Properties
total energy	-4.6363	eV/atom
magnetic moment	0.0000	μB/atom

***

Computed, not measured: crystalline Dy3Sb2Rh5Au2 at its relaxed geometry at the PBE-GGA level of DFT.

Unit cell a=4.221 b=4.221 c=13.775 alpha=98.81 beta=98.81 gamma=90.00
Sites, in units of the cell vectors:
Dy (0.159, 0.159, 0.318)
Dy (0.841, 0.841, 0.682)
Dy (0.000, 0.000, 0.000)
Rh (0.426, 0.926, 0.851)
Rh (0.574, 0.074, 0.149)
Rh (0.926, 0.426, 0.851)
Rh (0.074, 0.574, 0.149)
Rh (0.500, 0.500, 0.000)
Au (0.732, 0.732, 0.464)
Au (0.268, 0.268, 0.536)
Sb (0.629, 0.629, 0.259)
Sb (0.371, 0.371, 0.741)

Properties
total energy	-6.1164	eV/atom
magnetic moment	0.0000	μB/atom

***

Computed, not measured: crystalline TlTc2Au at its relaxed geometry at the PBE-GGA level of DFT.

Unit cell a=9.412 b=9.412 c=9.412 alpha=18.00 beta=18.00 gamma=18.00
Sites, in units of the cell vectors:
Tc (0.003, 0.003, 0.003)
Tc (0.497, 0.497, 0.497)
Au (0.750, 0.750, 0.750)
Tl (0.250, 0.250, 0.250)

Properties
total energy	-5.8751	eV/atom
energy above the lowest structure with this stoichiometry	443	meV per atom
magnetic moment	0.0009	μB/atom

***

Computed, not measured: crystalline La8CuSn2 at its relaxed geometry at the PBE-GGA level of DFT.

Unit cell a=5.301 b=6.991 c=10.368 alpha=106.42 beta=104.81 gamma=90.00
Sites, in units of the cell vectors:
Cu (0.500, 0.000, 0.000)
La (0.988, 0.214, 0.975)
La (0.589, 0.461, 0.179)
La (0.012, 0.786, 0.025)
La (0.651, 0.989, 0.302)
La (0.216, 0.304, 0.432)
La (0.349, 0.011, 0.698)
La (0.411, 0.539, 0.821)
La (0.784, 0.696, 0.568)
Sn (0.823, 0.264, 0.647)
Sn (0.177, 0.736, 0.353)

Properties
total energy	-5.0257	eV/atom
magnetic moment	0.0000	μB/atom

***

Computed, not measured: crystalline LiInTc2 at its relaxed geometry at the PBE-GGA level of DFT.

Unit cell a=4.574 b=4.574 c=5.159 alpha=84.56 beta=84.56 gamma=36.25
Sites, in units of the cell vectors:
In (0.496, 0.496, 0.475)
Li (0.248, 0.248, 0.256)
Tc (0.003, 0.003, 0.977)
Tc (0.754, 0.754, 0.791)

Properties
total energy	-6.1455	eV/atom
magnetic moment	0.0000	μB/atom

***

Computed, not measured: crystalline PtRhCl2 at its relaxed geometry at the PBE-GGA level of DFT.

Unit cell a=6.321 b=6.321 c=4.554 alpha=82.69 beta=82.69 gamma=30.28
Sites, in units of the cell vectors:
Cl (0.890, 0.890, 0.040)
Cl (0.610, 0.610, 0.460)
Pt (0.750, 0.750, 0.750)
Rh (0.250, 0.250, 0.250)

Properties
total energy	-4.1984	eV/atom
energy above the lowest structure with this stoichiometry	185	meV per atom
magnetic moment	0.2580	μB/atom

***

What did the eighth record say?
Computed, not measured: crystalline PtRhCl2 at its relaxed geometry at the PBE-GGA level of DFT.

Unit cell a=6.321 b=6.321 c=4.554 alpha=82.69 beta=82.69 gamma=30.28
Sites, in units of the cell vectors:
Cl (0.890, 0.890, 0.040)
Cl (0.610, 0.610, 0.460)
Pt (0.750, 0.750, 0.750)
Rh (0.250, 0.250, 0.250)

Properties
total energy	-4.1984	eV/atom
energy above the lowest structure with this stoichiometry	185	meV per atom
magnetic moment	0.2580	μB/atom